Record 1
The following is a PBE calculation of a relaxed structure of Tl8Sb, from Alexandria via LeMat-Bulk.

```
Tl8Sb
1.0
3.903 0.000 0.000
1.951 8.469 0.000
1.951 0.000 8.469
Tl Sb
8 1
Direct
0.661 0.000 0.678
0.339 0.000 0.322
0.333 0.667 0.667
0.661 0.678 0.000
0.000 0.667 0.333
0.339 0.322 0.000
0.667 0.333 0.333
0.000 0.333 0.667
0.000 0.000 0.000
```

Distance to the lowest polymorph of the same formula: 6 meV/atom
Crystal system: tetragonal
Total magnetic moment: 0.00 μB per formula unit
Raw formation energy: 11 meV/atom

Record 2
The following is a PBE calculation of a relaxed structure of TlSb3, from Alexandria via LeMat-Bulk.

```
TlSb3
1.0
-3.768 -3.005 -3.250
0.587 -4.570 3.545
-4.388 1.969 3.266
Sb Tl
3 1
Direct
0.500 0.000 0.000
0.000 0.500 0.000
0.000 0.000 0.500
0.000 0.000 0.000
```

Distance to the lowest polymorph of the same formula: 1056 meV/atom
Crystal system: cubic
Total magnetic moment: 0.00 μB per formula unit
Raw formation energy: 1117 meV/atom

Record 3
The following is a PBE calculation of a relaxed structure of Tl3Sb, from Alexandria via LeMat-Bulk.

```
Tl3Sb
1.0
5.908 -0.192 0.000
1.578 5.697 0.000
-3.743 -2.753 3.655
Sb Tl
1 3
Direct
0.000 0.000 0.000
0.250 0.750 0.500
0.500 0.500 0.000
0.750 0.250 0.500
```

Crystal system: tetragonal
Total magnetic moment: 0.00 μB per formula unit
Raw formation energy: 4 meV/atom